Here is a relaxed NaHo2MnSe4 crystal from the Alexandria database. Energies are from GGA-PBE.

Geometry as POSCAR:
```
NaHo2MnSe4
1.0
5.705 0.003 0.000
-0.003 5.705 0.000
-2.851 -2.854 5.724
Se Mn Ho Na
4 1 2 1
direct
0.997 0.497 0.993
0.752 0.752 0.505
0.248 0.248 0.495
0.503 0.003 0.007
0.750 0.250 0.500
0.250 0.750 0.500
0.000 0.000 0.000
0.500 0.500 0.000
```

## Properties
ρ	6.451	Mg/m³
SG	I-4m2, No. 119
magnetic moment	4.140	μB/f.u.
ΔE_f (raw)	-30.97	kcal/mol of atoms

Here is a relaxed Na4Ho3MnTe8 crystal from the Alexandria database. Energies are from GGA-PBE.

Geometry as POSCAR:
```
Na4Ho3MnTe8
1.0
8.677 0.000 0.000
0.000 9.076 0.272
-4.338 -4.333 6.140
Te Na Ho Mn
8 4 3 1
direct
0.232 0.722 0.990
0.256 0.267 0.511
0.768 0.278 0.010
0.744 0.733 0.489
0.767 0.277 0.535
0.233 0.723 0.465
0.758 0.722 0.990
0.242 0.278 0.010
0.000 0.000 0.000
0.500 0.000 0.500
0.000 0.000 0.500
0.500 0.000 0.000
0.500 0.500 0.500
0.000 0.500 0.500
0.500 0.500 0.000
0.000 0.500 0.000
```

## Properties
ρ	5.591	Mg/m³
SG	R-3m, No. 166
magnetic moment	4.075	μB/f.u.
ΔE_f (raw)	-24.57	kcal/mol of atoms

Here is a relaxed HoMn9Nb2 crystal from the Alexandria database. Energies are from GGA-PBE.

Geometry as POSCAR:
```
HoMn9Nb2
1.0
1.122 0.034 4.812
2.536 -3.755 1.972
7.912 2.446 0.674
Mn Nb Ho
9 2 1
direct
0.921 0.410 0.259
0.410 0.410 0.259
0.079 0.590 0.741
0.590 0.590 0.741
0.590 0.079 0.741
0.500 0.500 0.500
0.410 0.921 0.259
0.664 0.664 0.007
0.336 0.336 0.993
0.857 0.857 0.430
0.143 0.143 0.570
0.000 0.000 0.000
```

## Properties
ρ	8.505	Mg/m³
SG	R-3m, No. 166
magnetic moment	2.610	μB/f.u.
formation enthalpy at 0 K	-1.09	kcal/mol of atoms